No. 1
# CaPrIrRh

A relaxed CaPrIrRh crystal (PBE-GGA, Alexandria).

Energy of formation ... -39.7 kJ/mol of atoms
Density of states at the Fermi level ... 0.631 states/eV per atom

a = 4.944 Å, b = 4.944 Å, c = 4.944 Å
α = 60.00°, β = 60.00°, γ = 60.00°
Atoms (fractional coordinates):
Pr (0.250, 0.250, 0.250)
Ca (0.750, 0.750, 0.750)
Rh (0.000, 0.000, 0.000)
Ir (0.500, 0.500, 0.500)



No. 2
# RbCd2Sn

A relaxed RbCd2Sn crystal (PBE-GGA, Alexandria).

Energy of formation ... 2.0 kJ/mol of atoms
Density of states at the Fermi level ... 0.283 states/eV per atom

a = 5.910 Å, b = 5.910 Å, c = 10.679 Å
α = 73.94°, β = 73.94°, γ = 90.00°
Atoms (fractional coordinates):
Cd (0.874, 0.625, 0.250)
Cd (0.876, 0.125, 0.250)
Cd (0.375, 0.124, 0.750)
Cd (0.875, 0.126, 0.750)
Sn (0.750, 0.250, 0.500)
Sn (0.000, 0.000, 0.000)
Rb (0.250, 0.750, 0.500)
Rb (0.500, 0.500, 0.000)



No. 3
# PrRe2AgO8

A relaxed PrRe2AgO8 crystal (PBE-GGA, Alexandria).

Formation energy from raw total energies ... -1.68 eV per atom
Density of states at the Fermi level ... 0.212 states/eV per atom

a = 6.636 Å, b = 6.636 Å, c = 6.587 Å
α = 90.00°, β = 90.00°, γ = 120.00°
Atoms (fractional coordinates):
O (0.814, 0.628, 0.329)
O (0.372, 0.186, 0.329)
O (0.628, 0.814, 0.671)
O (0.186, 0.372, 0.671)
O (0.667, 0.333, 0.982)
O (0.814, 0.186, 0.329)
O (0.333, 0.667, 0.018)
O (0.186, 0.814, 0.671)
Re (0.333, 0.667, 0.754)
Re (0.667, 0.333, 0.246)
Pr (0.000, 0.000, 0.500)
Ag (0.000, 0.000, 0.000)



No. 4
# TiNiI6

A relaxed TiNiI6 crystal (PBE-GGA, Alexandria).

Formation energy from raw total energies ... -0.47 eV per atom

a = 7.684 Å, b = 7.684 Å, c = 6.485 Å
α = 91.12°, β = 91.12°, γ = 120.56°
Atoms (fractional coordinates):
I (0.290, 0.290, 0.759)
I (0.002, 0.289, 0.260)
I (0.998, 0.711, 0.740)
I (0.289, 0.002, 0.260)
I (0.710, 0.710, 0.241)
I (0.711, 0.998, 0.740)
Ni (0.000, 0.000, 0.500)
Ti (0.000, 0.000, 0.000)



No. 5
# RbZr2PbF

A relaxed RbZr2PbF crystal (PBE-GGA, Alexandria).

Formation energy from raw total energies ... 0.83 eV per atom
Density of states at the Fermi level ... 1.092 states/eV per atom

a = 5.475 Å, b = 4.499 Å, c = 5.475 Å
α = 90.00°, β = 90.00°, γ = 90.00°
Atoms (fractional coordinates):
F (0.000, 0.500, 0.000)
Zr (0.000, 0.000, 0.500)
Zr (0.500, 0.000, 0.000)
Pb (0.500, 0.500, 0.500)
Rb (0.000, 0.000, 0.000)



No. 6
# LiErSe

A relaxed LiErSe crystal (PBE-GGA, Alexandria).

Energy above the lowest structure with this stoichiometry ... 0 meV/atom
Formation energy from raw total energies ... -1.05 eV per atom
Density of states at the Fermi level ... 0.451 states/eV per atom

a = 3.908 Å, b = 3.908 Å, c = 7.753 Å
α = 90.00°, β = 90.00°, γ = 90.00°
Atoms (fractional coordinates):
Er (0.503, 0.003, 0.870)
Er (0.003, 0.503, 0.130)
Li (0.003, 0.003, 0.500)
Li (0.503, 0.503, 0.500)
Se (0.003, 0.503, 0.734)
Se (0.503, 0.003, 0.266)



No. 7
# AcTbNdY2

A relaxed AcTbNdY2 crystal (PBE-GGA, Alexandria).

Energy of formation ... 36.9 kJ/mol of atoms
Density of states at the Fermi level ... 1.708 states/eV per atom

a = 6.487 Å, b = 6.583 Å, c = 9.359 Å
α = 110.59°, β = 90.00°, γ = 90.00°
Atoms (fractional coordinates):
Ac (0.250, 0.659, 0.318)
Ac (0.750, 0.341, 0.682)
Tb (0.250, 0.227, 0.454)
Tb (0.750, 0.773, 0.546)
Y (0.000, 0.756, 0.000)
Y (0.000, 0.244, 0.000)
Y (0.500, 0.756, 0.000)
Y (0.500, 0.244, 0.000)
Nd (0.750, 0.154, 0.307)
Nd (0.250, 0.846, 0.693)



No. 8
# BiRh2O

A relaxed BiRh2O crystal (PBE-GGA, Alexandria).

Energy above the lowest structure with this stoichiometry ... 0 meV/atom
Formation energy from raw total energies ... -0.13 eV per atom
Density of states at the Fermi level ... 0.857 states/eV per atom

a = 4.894 Å, b = 4.894 Å, c = 7.117 Å
α = 69.89°, β = 69.89°, γ = 90.00°
Atoms (fractional coordinates):
O (0.250, 0.750, 0.500)
O (0.500, 0.500, 0.000)
Rh (0.470, 0.125, 0.250)
Rh (0.280, 0.625, 0.250)
Rh (0.875, 0.720, 0.750)
Rh (0.375, 0.530, 0.750)
Bi (0.750, 0.250, 0.500)
Bi (0.000, 0.000, 0.000)



No. 9
# LiGdErOs

A relaxed LiGdErOs crystal (PBE-GGA, Alexandria).

Energy of formation ... -21.9 kJ/mol of atoms
Density of states at the Fermi level ... 0.637 states/eV per atom

a = 4.895 Å, b = 4.895 Å, c = 4.895 Å
α = 60.00°, β = 60.00°, γ = 60.00°
Atoms (fractional coordinates):
Os (0.500, 0.500, 0.500)
Gd (0.250, 0.250, 0.250)
Er (0.750, 0.750, 0.750)
Li (0.000, 0.000, 0.000)



No. 10
# CaCoSbI2

A relaxed CaCoSbI2 crystal (PBE-GGA, Alexandria).

Energy above the lowest structure with this stoichiometry ... 0 meV/atom
Formation energy from raw total energies ... -0.14 eV per atom
Density of states at the Fermi level ... 0.975 states/eV per atom

a = 5.449 Å, b = 5.449 Å, c = 4.938 Å
α = 90.00°, β = 90.00°, γ = 90.00°
Atoms (fractional coordinates):
Sb (0.000, 0.000, 0.500)
Co (0.000, 0.000, 0.000)
I (0.000, 0.500, 0.000)
I (0.500, 0.000, 0.000)
Ca (0.500, 0.500, 0.500)



No. 11
# TlCuHg2Pb

A relaxed TlCuHg2Pb crystal (PBE-GGA, Alexandria).

Energy above the lowest structure with this stoichiometry ... 0 meV/atom
Energy of formation ... 14.1 kJ/mol of atoms
Density of states at the Fermi level ... 0.461 states/eV per atom

a = 5.129 Å, b = 5.129 Å, c = 5.361 Å
α = 90.00°, β = 90.00°, γ = 90.00°
Atoms (fractional coordinates):
Cu (0.000, 0.000, 0.000)
Hg (0.500, 0.000, 0.000)
Hg (0.000, 0.500, 0.000)
Tl (0.500, 0.500, 0.500)
Pb (0.000, 0.000, 0.500)



No. 12
# Sb3O8

A relaxed Sb3O8 crystal (PBE-GGA, Alexandria).

Formation energy from raw total energies ... -1.11 eV per atom
Density of states at the Fermi level ... 0.564 states/eV per atom

a = 9.001 Å, b = 9.600 Å, c = 10.005 Å
α = 89.49°, β = 90.00°, γ = 90.00°
Atoms (fractional coordinates):
O (0.167, 0.613, 0.841)
O (0.833, 0.113, 0.341)
O (0.501, 0.894, 0.157)
O (0.648, 0.617, 0.093)
O (0.667, 0.144, 0.091)
O (0.674, 0.155, 0.582)
O (0.660, 0.848, 0.917)
O (0.501, 0.606, 0.343)
O (0.006, 0.625, 0.091)
O (0.326, 0.655, 0.082)
O (0.667, 0.356, 0.409)
O (0.833, 0.387, 0.159)
O (0.994, 0.125, 0.591)
O (0.147, 0.886, 0.146)
O (0.510, 0.869, 0.664)
O (0.001, 0.641, 0.596)
O (0.999, 0.359, 0.404)
O (0.660, 0.652, 0.583)
O (0.147, 0.614, 0.354)
O (0.490, 0.131, 0.336)
O (0.001, 0.859, 0.904)
O (0.490, 0.369, 0.164)
O (0.838, 0.884, 0.673)
O (0.167, 0.887, 0.659)
O (0.175, 0.409, 0.677)
O (0.648, 0.883, 0.407)
O (0.510, 0.631, 0.836)
O (0.853, 0.386, 0.646)
O (0.838, 0.616, 0.827)
O (0.340, 0.152, 0.083)
O (0.326, 0.845, 0.418)
O (0.333, 0.856, 0.909)
O (0.674, 0.345, 0.918)
O (0.853, 0.114, 0.854)
O (0.352, 0.117, 0.593)
O (0.999, 0.141, 0.096)
O (0.162, 0.116, 0.327)
O (0.333, 0.644, 0.591)
O (0.994, 0.375, 0.909)
O (0.499, 0.394, 0.657)
O (0.340, 0.348, 0.417)
O (0.006, 0.875, 0.409)
O (0.352, 0.383, 0.907)
O (0.825, 0.909, 0.177)
O (0.825, 0.591, 0.323)
O (0.175, 0.091, 0.823)
O (0.499, 0.106, 0.843)
O (0.162, 0.384, 0.173)
Sb (0.152, 0.753, 0.500)
Sb (0.994, 0.000, 0.751)
Sb (0.496, 0.251, 0.518)
Sb (0.504, 0.751, 0.018)
Sb (0.353, 0.508, 0.750)
Sb (0.647, 0.492, 0.250)
Sb (0.994, 0.500, 0.749)
Sb (0.307, 0.250, 0.250)
Sb (0.496, 0.249, 0.982)
Sb (0.353, 0.992, 0.750)
Sb (0.504, 0.749, 0.482)
Sb (0.647, 0.008, 0.250)
Sb (0.848, 0.247, 0.500)
Sb (0.006, 0.500, 0.251)
Sb (0.006, 0.000, 0.249)
Sb (0.848, 0.253, 0.000)
Sb (0.152, 0.747, 0.000)
Sb (0.693, 0.750, 0.750)